(1)
The following is a GGA-PBE calculation of a relaxed Tb2Ho2Cd crystal, from the Alexandria database.

The energy above the most stable polymorph in this dataset comes out at 0.0 kJ/mol of formula units.

The structure belongs to space group I4/mmm (No. 139); the cell edges are 3.5516, 3.5516 and 23.3021 Å and the angles 90.00°, 90.00° and 90.00°. The distinct sites, in fractional coordinates, are Tb at (0.0000, 0.0000, 0.1960), Ho at (0.0000, 0.0000, 0.4109) and Cd at (0.0000, 0.0000, 0.0000).

(2)
The following is a GGA-PBE calculation of a relaxed TbHo6Cd crystal, from the Alexandria database.

Its total DFT energy (no corrections) is -32.6 eV/f.u.

The structure belongs to space group P-1 (No. 2); the cell edges are 6.2614, 6.2629 and 6.2646 Å and the angles 94.37°, 94.47° and 94.42°. The distinct sites, in fractional coordinates, are Tb at (0.0000, 0.0000, 0.0000), Ho at (0.0503, 0.5403, 0.2584), Ho at (0.2584, 0.0505, 0.5402), Ho at (0.4599, 0.7416, 0.9496) and Cd at (0.5000, 0.5000, 0.5000).

(3)
The following is a GGA-PBE calculation of a relaxed TbHo4Cd crystal, from the Alexandria database.

The energy above the most stable polymorph in this dataset comes out at 0.0 kJ/mol of formula units.

The structure belongs to space group P4/mmm (No. 123); the cell edges are 3.5467, 3.5467 and 14.0995 Å and the angles 90.00°, 90.00° and 90.00°. The distinct sites, in fractional coordinates, are Tb at (0.0000, 0.0000, 0.0000), Ho at (0.0000, 0.0000, 0.3528), Ho at (0.5000, 0.5000, 0.1771) and Cd at (0.5000, 0.5000, 0.5000).

(4)
The following is a GGA-PBE calculation of a relaxed Tb4Ho5Cd crystal, from the Alexandria database.

The energy above the most stable polymorph in this dataset comes out at 75.0 kJ/mol of formula units.

The structure belongs to space group I4mm (No. 107); the cell edges are 10.5786, 10.5786 and 5.7004 Å and the angles 90.00°, 90.00° and 90.00°. The distinct sites, in fractional coordinates, are Tb at (0.0000, 0.3199, 0.0000), Ho at (0.0000, 0.0000, 0.1982), Ho at (0.1846, 0.1846, 0.4911) and Cd at (0.0000, 0.0000, 0.7173).

(5)
The following is a GGA-PBE calculation of a relaxed Tb6HoCd crystal, from the Alexandria database.

The energy above the most stable polymorph in this dataset comes out at 0.0 kJ/mol of formula units.

The structure belongs to space group P4/mmm (No. 123); the cell edges are 4.9137, 4.9137 and 10.0212 Å and the angles 90.00°, 90.00° and 90.00°. The distinct sites, in fractional coordinates, are Tb at (0.0000, 0.0000, 0.0000), Tb at (0.0000, 0.0000, 0.5000), Tb at (0.0000, 0.5000, 0.2454), Ho at (0.5000, 0.5000, 0.5000) and Cd at (0.5000, 0.5000, 0.0000).

(6)
The following is a GGA-PBE calculation of a relaxed Tb2HoCd5 crystal, from the Alexandria database.

Its total DFT energy (no corrections) is -20.8 eV/f.u.

The structure belongs to space group I4/mmm (No. 139); the cell edges are 5.1243, 5.1243 and 15.0621 Å and the angles 90.00°, 90.00° and 90.00°. The distinct sites, in fractional coordinates, are Tb at (0.0000, 0.0000, 0.2392), Ho at (0.0000, 0.0000, 0.5000), Cd at (0.0000, 0.0000, 0.0000) and Cd at (0.0000, 0.5000, 0.1183).